Record 1
A relaxed Na3Al5F12 crystal, computed with GGA-PBE.

a = 11.8191 Å, b = 11.8191 Å, c = 11.8191 Å
α = 109.47°, β = 109.47°, γ = 109.47°
Fractional coordinates of all 80 atoms:
Na  0.7500  0.3750  0.1250
Na  0.8750  0.7500  0.1250
Na  0.3750  0.7500  0.6250
Na  0.2500  0.1250  0.3750
Na  0.8750  0.1250  0.2500
Na  0.3750  0.6250  0.2500
Na  0.6250  0.3750  0.7500
Na  0.1250  0.8750  0.7500
Na  0.7500  0.8750  0.6250
Na  0.6250  0.2500  0.3750
Na  0.1250  0.2500  0.8750
Na  0.2500  0.6250  0.8750
Al  0.1250  0.3750  0.2500
Al  0.0000  0.5000  0.0000
Al  0.0000  0.0000  0.0000
Al  0.3750  0.2500  0.1250
Al  0.5000  0.0000  0.5000
Al  0.5000  0.5000  0.0000
Al  0.1250  0.7500  0.3750
Al  0.7500  0.1250  0.8750
Al  0.7500  0.6250  0.3750
Al  0.3750  0.1250  0.7500
Al  0.6250  0.8750  0.2500
Al  0.5000  0.5000  0.5000
Al  0.5000  0.0000  0.0000
Al  0.0000  0.0000  0.5000
Al  0.2500  0.3750  0.6250
Al  0.2500  0.8750  0.1250
Al  0.0000  0.5000  0.5000
Al  0.8750  0.2500  0.6250
Al  0.6250  0.7500  0.8750
Al  0.8750  0.6250  0.7500
F  0.6293  0.1432  0.0025
F  0.3732  0.5025  0.3593
F  0.9975  0.3568  0.3707
F  0.5025  0.1293  0.1432
F  0.4861  0.6293  0.6268
F  0.9975  0.6407  0.1268
F  0.3732  0.8707  0.5139
F  0.1407  0.0139  0.1432
F  0.6407  0.9975  0.6268
F  0.6293  0.4861  0.1268
F  0.8707  0.4975  0.3568
F  0.8732  0.8593  0.0025
F  0.1432  0.6293  0.5025
F  0.3568  0.3593  0.9861
F  0.9861  0.8593  0.3568
F  0.5139  0.1432  0.6407
F  0.9861  0.1268  0.1293
F  0.4975  0.6268  0.1407
F  0.8732  0.0139  0.3707
F  0.1432  0.5139  0.1407
F  0.3568  0.9975  0.8707
F  0.6407  0.6432  0.5139
F  0.8593  0.8732  0.5025
F  0.8707  0.3732  0.0139
F  0.3593  0.3568  0.4861
F  0.1407  0.1268  0.4975
F  0.1293  0.6268  0.9861
F  0.1268  0.9861  0.6293
F  0.6432  0.0025  0.1293
F  0.8568  0.4861  0.8593
F  0.5025  0.3732  0.8593
F  0.4861  0.8568  0.3593
F  0.0139  0.8732  0.8707
F  0.0139  0.1407  0.6432
F  0.8568  0.3707  0.4975
F  0.1268  0.1407  0.9975
F  0.6432  0.6407  0.0139
F  0.3593  0.0025  0.3732
F  0.3707  0.5139  0.8732
F  0.1293  0.5025  0.6432
F  0.8593  0.9861  0.8568
F  0.6268  0.1293  0.4861
F  0.4975  0.8707  0.8568
F  0.0025  0.3593  0.8732
F  0.5139  0.3707  0.3732
F  0.0025  0.6432  0.6293
F  0.6268  0.4975  0.6407
F  0.3707  0.8568  0.9975

## Properties
Calculated volume in Å³/cell: 1271
Raw total energy in eV/atom: -4.85
Magnetization in μB per cell: 0.00

---

Record 2
A relaxed Dy8Te4As3Pt crystal, computed with GGA-PBE.

a = 8.4338 Å, b = 8.5676 Å, c = 8.4337 Å
α = 119.48°, β = 120.00°, γ = 90.00°
Fractional coordinates of all 16 atoms:
Dy  0.2359  0.7171  0.9812
Dy  0.2360  0.7172  0.4719
Dy  0.2604  0.2813  0.5209
Dy  0.7453  0.7171  0.9812
Dy  0.2547  0.2829  0.0188
Dy  0.7396  0.7187  0.4791
Dy  0.7640  0.2828  0.5281
Dy  0.7641  0.2829  0.0188
Te  0.5000  0.0000  0.0000
Te  0.5000  0.0000  0.5000
Te  0.0000  0.0000  0.0000
Te  0.0000  0.0000  0.5000
As  0.5000  0.5000  0.0000
As  0.5000  0.5000  0.5000
As  0.0000  0.5000  0.5000
Pt  0.0000  0.5000  0.0000

## Properties
Calculated volume in Å³/cell: 434
Raw total energy in eV/atom: -5.75
Magnetization in μB per cell: 0.00